Computed, not measured: an optimized crystal structure of Tm5Mg at the PBEsol level of DFT.

As for the polymorph energy (0 for the lowest one): 3 meV/atom. Its total magnetic moment is 0.01 μB/f.u. Its density of states at the Fermi level is 1.56 states/eV per atom. As for the crystal system: orthorhombic. As for the calculated formation energy: 0.02 eV per atom.

The space group is Amm2 (No. 38) and the conventional cell measures 5.4240, 3.4433 and 17.8157 Å, with angles of 90.00, 90.00 and 90.00 degrees. The inequivalent atoms are Tm at (0.0000, 0.0000, 0.0000), Tm at (0.0000, 0.0000, 0.3312), Tm at (0.0000, 0.0000, 0.6678), Tm at (0.5000, 0.0000, 0.1134), Tm at (0.5000, 0.0000, 0.4479) and Mg at (0.5000, 0.0000, 0.7783).

---

Computed, not measured: an optimized crystal structure of CdCo2Ag at the PBEsol level of DFT.

Its total magnetic moment is 3.11 μB/f.u. Its density of states at the Fermi level is 1.16 states/eV per atom. As for the crystal system: cubic. As for the calculated formation energy: 0.43 eV per atom.

The space group is F-43m (No. 216) and the conventional cell measures 6.0991, 6.0991 and 6.0991 Å, with angles of 90.00, 90.00 and 90.00 degrees. The inequivalent atoms are Cd at (0.0000, 0.0000, 0.0000), Co at (0.0000, 0.0000, 0.5000), Co at (0.2500, 0.2500, 0.7500) and Ag at (0.2500, 0.2500, 0.2500).